(1)
The following is a DFT calculation (PBE) of crystalline PrEu2Tm at its relaxed geometry.

Cell: 5.902 5.902 5.902 Å, 60.00 60.00 60.00°
Fractional positions:
Eu: 0.750 0.750 0.750
Eu: 0.250 0.250 0.250
Pr: 0.500 0.500 0.500
Tm: 0.000 0.000 0.000

## Properties
Formation enthalpy at 0 K, eV/atom: 0.151
Calculated density, Mg/m³: 7.01
Space-group type: No. 225

---

(2)
The following is a DFT calculation (PBE) of crystalline MnBeVP2 at its relaxed geometry.

Cell: 4.442 4.674 4.442 Å, 90.00 90.00 90.00°
Fractional positions:
P: 0.500 0.000 0.000
P: 0.000 0.000 0.500
V: 0.000 0.000 0.000
Mn: 0.000 0.500 0.000
Be: 0.500 0.500 0.500

## Properties
Formation enthalpy at 0 K, eV/atom: 0.896
Calculated density, Mg/m³: 3.18
Space-group type: No. 123

---

(3)
The following is a DFT calculation (PBE) of crystalline KTlGaH2 at its relaxed geometry.

Cell: 4.681 4.681 6.027 Å, 90.00 90.00 90.00°
Fractional positions:
Ga: 0.000 0.000 0.500
Tl: 0.500 0.500 0.500
H: 0.000 0.500 0.000
K: 0.000 0.000 0.000
H: 0.500 0.000 0.000

## Properties
Calculated density, Mg/m³: 3.96
Space-group type: No. 123
Calculated total energy, eV per atom: -1.9423

---

(4)
The following is a DFT calculation (PBE) of crystalline SrLiRe2 at its relaxed geometry.

Cell: 4.950 4.950 4.950 Å, 130.74 116.42 84.40°
Fractional positions:
Li: 0.231 0.731 0.500
Re: 0.974 0.974 0.000
Sr: 0.504 0.504 0.000
Re: 0.791 0.291 0.500

## Properties
Formation enthalpy at 0 K, eV/atom: 0.724
Calculated density, Mg/m³: 9.83
Space-group type: No. 44

---

(5)
The following is a DFT calculation (PBE) of crystalline TaAlCo at its relaxed geometry.

Cell: 5.606 5.742 5.742 Å, 91.04 75.44 75.44°
Fractional positions:
Al: 0.295 0.176 0.926
Co: 0.995 0.501 0.751
Al: 0.705 0.824 0.074
Ta: 0.307 0.673 0.923
Co: 0.005 0.999 0.749
Ta: 0.307 0.173 0.423
Co: 0.005 0.499 0.249
Al: 0.295 0.676 0.426
Ta: 0.693 0.327 0.077
Co: 0.995 0.001 0.251
Al: 0.705 0.324 0.574
Ta: 0.693 0.827 0.577

## Properties
Formation enthalpy at 0 K, eV/atom: -0.336
Calculated density, Mg/m³: 10.27
Space-group type: No. 63

---

(6)
The following is a DFT calculation (PBE) of crystalline AgPb2Cl at its relaxed geometry.

Cell: 5.688 3.368 6.592 Å, 60.14 90.00 90.00°
Fractional positions:
Pb: 0.000 0.758 0.875
Pb: 0.500 0.256 0.375
Ag: 0.000 0.754 0.375
Cl: 0.500 0.732 0.875

## Properties
Calculated density, Mg/m³: 8.46
Space-group type: No. 6
E_form (uncorrected), eV/atom: -0.22